La2SnBi4 | GGA-PBE | relaxed

Structure (POSCAR):
```
La2SnBi4
1.0
6.129 0.019 -3.484
-2.038 5.780 -3.484
-0.115 -0.163 6.844
Bi La Sn
4 2 1
Direct
0.786 0.286 0.071
0.286 0.286 0.071
0.786 0.786 0.072
0.286 0.786 0.071
0.786 0.286 0.571
0.286 0.786 0.571
0.786 0.786 0.571
```

Energy relative to the elements = -0.564 eV per atom
Crystal system = monoclinic
Mass density = 8.681 Mg/m³
Space-group type = No. 12
Magnetization = 0.00 μB per formula unit
V = 33.679 Å³ per atom

---

La2SnBi6 | GGA-PBE | relaxed

Structure (POSCAR):
```
La2SnBi6
1.0
-2.791 -0.052 3.684
-3.458 -7.168 -2.720
8.147 -0.551 3.265
Sn Bi La
1 6 2
Direct
0.500 0.500 0.000
0.164 0.536 0.328
0.836 0.464 0.672
0.284 0.172 0.569
0.594 0.160 0.187
0.716 0.828 0.431
0.406 0.840 0.813
0.943 0.180 0.886
0.057 0.820 0.114
```

Energy relative to the elements = -0.441 eV per atom
Crystal system = monoclinic
Mass density = 9.377 Mg/m³
Space-group type = No. 12
Magnetization = 0.00 μB per formula unit
V = 32.474 Å³ per atom

---

What is the magnetization in the second record?
0.00 μB per formula unit